1.
BeRh3 | PBE | optimized geometry

Output
Symmetry = Pmm2 (25)
Energy relative to the elements = -0.093 eV per atom

Cell lengths 2.724, 4.239, 4.543 Å; angles 90.00, 90.00, 90.00 degrees
Fractional positions:
Rh  0.500  0.000  0.497
Rh  0.500  0.500  0.848
Rh  0.000  0.500  0.332
Be  0.000  0.000  0.989

2.
NbBi2PdSe | PBE | optimized geometry

Output
Symmetry = P4/mmm (123)
ΔE_f (raw) = 742.5 meV/atom

Cell lengths 5.509, 4.872, 5.509 Å; angles 90.00, 90.00, 90.00 degrees
Each line ends with the local moment (μB).
Fractional positions:
Bi  0.000  0.000  0.500  0.00
Bi  0.500  0.000  0.000  -0.02
Pd  0.000  0.500  0.000  0.11
Se  0.500  0.500  0.500  0.11
Nb  0.000  0.000  0.000  0.42

3.
Na3NF | PBE | optimized geometry

Output
Symmetry = Pm-3m (221)
ΔE_f (raw) = -584.9 meV/atom

Cell lengths 4.315, 4.315, 4.315 Å; angles 90.00, 90.00, 90.00 degrees
Each line ends with the local moment (μB).
Fractional positions:
Na  0.500  0.000  0.000  0.00
Na  0.000  0.000  0.500  -0.01
Na  0.000  0.500  0.000  -0.01
N  0.500  0.500  0.500  0.70
F  0.000  0.000  0.000  0.00

| no. | final energy (eV/cell) |
| --- | --- |
| 1 | -26.15 |
| 2 | -22.80 |
| 3 | -17.08 |